The following is a DFT calculation (GGA-PBE) of CdPbW after structural relaxation.

Lattice parameters (Å, degrees): 4.742 4.742 4.742 60.00 60.00 60.00
Atoms (fractional coordinates):
Cd (0.000, 0.000, 0.000)
Pb (0.500, 0.500, 0.500)
W (0.250, 0.250, 0.250)

Values from the calculation:
* SG: F-43m, No. 216
* offset from the most stable computed form: 0 meV/atom
* M_tot: 2.2 μB per formula unit

=====

The following is a DFT calculation (GGA-PBE) of La3Cd2As6 after structural relaxation.

Lattice parameters (Å, degrees): 11.169 11.169 12.351 100.64 100.64 21.19
Atoms (fractional coordinates):
La (0.109, 0.109, 0.038)
La (0.109, 0.109, 0.368)
La (0.109, 0.109, 0.703)
La (0.891, 0.891, 0.297)
La (0.891, 0.891, 0.632)
La (0.891, 0.891, 0.962)
Cd (0.251, 0.251, 0.604)
Cd (0.251, 0.251, 0.897)
Cd (0.749, 0.749, 0.103)
Cd (0.749, 0.749, 0.396)
As (0.000, 0.000, 0.500)
As (0.001, 0.001, 0.833)
As (0.334, 0.334, 0.111)
As (0.334, 0.334, 0.445)
As (0.342, 0.342, 0.780)
As (0.499, 0.499, 0.333)
As (0.500, 0.500, 0.000)
As (0.501, 0.501, 0.667)
As (0.658, 0.658, 0.220)
As (0.666, 0.666, 0.555)
As (0.666, 0.666, 0.889)
As (0.999, 0.999, 0.167)

Values from the calculation:
* SG: C2/m, No. 12
* energy: -109.10 eV for the cell shown
* M_tot: 0.0 μB per formula unit